(1)
An optimized crystal structure of Y2ZnHPt. Source: the Alexandria database, functional GGA-PBE.

Results
polymorph energy (0 for the lowest one)	0	meV/atom
space group	P4/mmm, No. 123
density	8.0	Mg/m³

abc: 4.975 4.975 3.695
angles: 90.00 90.00 90.00
Fractional positions:
Y: 0.000 0.500 0.000
Y: 0.500 0.000 0.000
Zn: 0.000 0.000 0.500
H: 0.500 0.500 0.000
Pt: 0.500 0.500 0.500


(2)
An optimized crystal structure of Pr4SiRhBr2. Source: the Alexandria database, functional GGA-PBE.

Results
formation energy without anion corrections	-1012	meV per atom
space group	P2/m, No. 10
density	5.9	Mg/m³

abc: 7.619 4.166 7.867
angles: 90.00 106.67 90.00
Fractional positions:
Pr: 0.227 0.000 0.200
Pr: 0.256 0.500 0.797
Pr: 0.744 0.500 0.203
Pr: 0.773 0.000 0.800
Si: 0.500 0.000 0.000
Rh: 0.000 0.500 0.000
Br: 0.000 0.000 0.500
Br: 0.500 0.500 0.500


(3)
An optimized crystal structure of Zr4AgC. Source: the Alexandria database, functional GGA-PBE.

Results
calculated formation energy	-0.13	eV/atom
space group	C2/c, No. 15
density	6.6	Mg/m³

abc: 7.529 7.529 5.659
angles: 103.95 103.95 119.76
Fractional positions:
Zr: 0.068 0.658 0.854
Zr: 0.156 0.263 0.694
Zr: 0.263 0.156 0.194
Zr: 0.342 0.932 0.646
Zr: 0.658 0.068 0.354
Zr: 0.737 0.844 0.806
Zr: 0.844 0.737 0.306
Zr: 0.932 0.342 0.146
Ag: 0.390 0.610 0.250
Ag: 0.610 0.390 0.750
C: 0.063 0.937 0.750
C: 0.937 0.063 0.250


(4)
An optimized crystal structure of In3OsRh. Source: the Alexandria database, functional GGA-PBE.

Results
calculated formation energy	0.79	eV/atom
polymorph energy (0 for the lowest one)	0	meV/atom
space group	Pm-3m, No. 221
density	8.1	Mg/m³

abc: 5.077 5.077 5.077
angles: 90.00 90.00 90.00
Fractional positions:
In: 0.000 0.000 0.500
In: 0.000 0.500 0.000
In: 0.500 0.000 0.000
Os: 0.000 0.000 0.000
Rh: 0.500 0.500 0.500


(5)
An optimized crystal structure of CsSrBr2O6. Source: the Alexandria database, functional GGA-PBE.

Results
formation energy without anion corrections	-738	meV per atom
space group	C2/c, No. 15
density	4.0	Mg/m³

abc: 7.389 7.389 7.809
angles: 100.29 100.29 103.80
Fractional positions:
Cs: 0.185 0.815 0.750
Cs: 0.815 0.185 0.250
Sr: 0.437 0.563 0.250
Sr: 0.563 0.437 0.750
Br: 0.071 0.299 0.809
Br: 0.299 0.071 0.309
Br: 0.701 0.929 0.691
Br: 0.929 0.701 0.191
O: 0.080 0.582 0.279
O: 0.166 0.206 0.642
O: 0.206 0.166 0.142
O: 0.293 0.496 0.915
O: 0.418 0.920 0.221
O: 0.496 0.293 0.415
O: 0.504 0.707 0.585
O: 0.582 0.080 0.779
O: 0.707 0.504 0.085
O: 0.794 0.834 0.858
O: 0.834 0.794 0.358
O: 0.920 0.418 0.721


(6)
An optimized crystal structure of Cu2AgPb2. Source: the Alexandria database, functional GGA-PBE.

Results
calculated formation energy	0.18	eV/atom
polymorph energy (0 for the lowest one)	0	meV/atom
space group	P4/mbm, No. 127
density	10.5	Mg/m³

abc: 7.097 7.097 4.072
angles: 90.00 90.00 90.00
Fractional positions:
Cu: 0.126 0.374 0.000
Cu: 0.374 0.874 0.000
Cu: 0.626 0.126 0.000
Cu: 0.874 0.626 0.000
Ag: 0.000 0.000 0.000
Ag: 0.500 0.500 0.000
Pb: 0.175 0.675 0.500
Pb: 0.325 0.175 0.500
Pb: 0.675 0.825 0.500
Pb: 0.825 0.325 0.500


(7)
An optimized crystal structure of SrYHfTa2. Source: the Alexandria database, functional GGA-PBE.

Results
calculated formation energy	1.77	eV/atom
space group	P4/mmm, No. 123
density	8.4	Mg/m³

abc: 5.139 5.139 5.390
angles: 90.00 90.00 90.00
Fractional positions:
Sr: 0.000 0.000 0.000
Y: 0.500 0.500 0.500
Hf: 0.500 0.500 0.000
Ta: 0.000 0.500 0.500
Ta: 0.500 0.000 0.500


(8)
An optimized crystal structure of Rb2SmThSe4. Source: the Alexandria database, functional GGA-PBE.

Results
formation energy without anion corrections	-1628	meV per atom
space group	P2/m, No. 10
density	5.6	Mg/m³

abc: 7.442 4.303 8.453
angles: 90.00 107.02 90.00
Fractional positions:
Rb: 0.000 0.000 0.000
Rb: 0.500 0.500 0.000
Sm: 0.000 0.500 0.500
Th: 0.500 0.000 0.500
Se: 0.236 0.000 0.702
Se: 0.266 0.500 0.296
Se: 0.734 0.500 0.704
Se: 0.764 0.000 0.298